# ZrMnOs2 PBE optimized geometry
# ΔH_f (0 K): 0.2974 eV/atom
# Space-group type: R3m, No. 160
data_ZrMnOs2
_chemical_formula_sum 'Zr1 Mn1 Os2'
_cell_length_a 9.403
_cell_length_b 9.403
_cell_length_c 9.403
_cell_angle_alpha 17.22
_cell_angle_beta 17.22
_cell_angle_gamma 17.22
_symmetry_space_group_name_H-M 'P 1'
_symmetry_Int_Tables_number 1
loop_
_symmetry_equiv_pos_as_xyz
'x,y,z'
loop_
_atom_site_label
_atom_site_type_symbol
_atom_site_fract_x
_atom_site_fract_y
_atom_site_fract_z
_atom_site_occupancy
Os1 Os 0.000 0.000 0.000 1
Os2 Os 0.258 0.258 0.258 1
Zr1 Zr 0.499 0.499 0.499 1
Mn1 Mn 0.744 0.744 0.744 1

=====

# ZrMn2Os2 PBE optimized geometry
# ΔH_f (0 K): 0.0621 eV/atom
# Distance to the lowest polymorph of the same formula: 82.6 meV/atom
# Space-group type: I4/mmm, No. 139
data_ZrMn2Os2
_chemical_formula_sum 'Zr1 Mn2 Os2'
_cell_length_a 3.927
_cell_length_b 3.927
_cell_length_c 5.857
_cell_angle_alpha 70.41
_cell_angle_beta 70.41
_cell_angle_gamma 90.00
_symmetry_space_group_name_H-M 'P 1'
_symmetry_Int_Tables_number 1
loop_
_symmetry_equiv_pos_as_xyz
'x,y,z'
loop_
_atom_site_label
_atom_site_type_symbol
_atom_site_fract_x
_atom_site_fract_y
_atom_site_fract_z
_atom_site_occupancy
Mn1 Mn 0.750 0.250 0.500 1
Mn2 Mn 0.250 0.750 0.500 1
Os1 Os 0.383 0.383 0.234 1
Os2 Os 0.617 0.617 0.766 1
Zr1 Zr 0.000 0.000 0.000 1

=====

# ZrMnOs2 PBE optimized geometry
# ΔH_f (0 K): 0.4167 eV/atom
# Space-group type: I-42d, No. 122
data_ZrMnOs2
_chemical_formula_sum 'Zr2 Mn2 Os4'
_cell_length_a 7.248
_cell_length_b 7.248
_cell_length_c 5.717
_cell_angle_alpha 50.66
_cell_angle_beta 50.66
_cell_angle_gamma 90.00
_symmetry_space_group_name_H-M 'P 1'
_symmetry_Int_Tables_number 1
loop_
_symmetry_equiv_pos_as_xyz
'x,y,z'
loop_
_atom_site_label
_atom_site_type_symbol
_atom_site_fract_x
_atom_site_fract_y
_atom_site_fract_z
_atom_site_occupancy
Os1 Os 0.875 0.814 0.750 1
Os2 Os 0.375 0.436 0.750 1
Os3 Os 0.564 0.125 0.250 1
Os4 Os 0.186 0.625 0.250 1
Zr1 Zr 0.750 0.250 0.500 1
Zr2 Zr 0.000 0.000 0.000 1
Mn1 Mn 0.500 0.500 0.000 1
Mn2 Mn 0.250 0.750 0.500 1

=====

# ZrMnOs2 PBE optimized geometry
# ΔH_f (0 K): 0.1043 eV/atom
# Space-group type: P4mm, No. 99
data_ZrMnOs2
_chemical_formula_sum 'Zr1 Mn1 Os2'
_cell_length_a 2.840
_cell_length_b 2.840
_cell_length_c 7.904
_cell_angle_alpha 90.00
_cell_angle_beta 90.00
_cell_angle_gamma 90.00
_symmetry_space_group_name_H-M 'P 1'
_symmetry_Int_Tables_number 1
loop_
_symmetry_equiv_pos_as_xyz
'x,y,z'
loop_
_atom_site_label
_atom_site_type_symbol
_atom_site_fract_x
_atom_site_fract_y
_atom_site_fract_z
_atom_site_occupancy
Mn1 Mn 0.500 0.500 0.773 1
Os1 Os 0.000 0.000 0.004 1
Os2 Os 0.500 0.500 0.218 1
Zr1 Zr 0.000 0.000 0.505 1

=====

# ZrMnOs2 PBE optimized geometry
# ΔH_f (0 K): 0.0460 eV/atom
# Space-group type: I-4m2, No. 119
data_ZrMnOs2
_chemical_formula_sum 'Zr1 Mn1 Os2'
_cell_length_a 4.945
_cell_length_b 4.945
_cell_length_c 4.945
_cell_angle_alpha 133.28
_cell_angle_beta 133.28
_cell_angle_gamma 68.21
_symmetry_space_group_name_H-M 'P 1'
_symmetry_Int_Tables_number 1
loop_
_symmetry_equiv_pos_as_xyz
'x,y,z'
loop_
_atom_site_label
_atom_site_type_symbol
_atom_site_fract_x
_atom_site_fract_y
_atom_site_fract_z
_atom_site_occupancy
Mn1 Mn 0.750 0.250 0.500 1
Os1 Os 0.000 0.000 0.000 1
Os2 Os 0.250 0.750 0.500 1
Zr1 Zr 0.500 0.500 0.000 1

=====

# ZrMnOs2 PBE optimized geometry
# ΔH_f (0 K): 0.1218 eV/atom
# Space-group type: F-43m, No. 216
data_ZrMnOs2
_chemical_formula_sum 'Zr1 Mn1 Os2'
_cell_length_a 4.460
_cell_length_b 4.460
_cell_length_c 4.460
_cell_angle_alpha 60.00
_cell_angle_beta 60.00
_cell_angle_gamma 60.00
_symmetry_space_group_name_H-M 'P 1'
_symmetry_Int_Tables_number 1
loop_
_symmetry_equiv_pos_as_xyz
'x,y,z'
loop_
_atom_site_label
_atom_site_type_symbol
_atom_site_fract_x
_atom_site_fract_y
_atom_site_fract_z
_atom_site_occupancy
Mn1 Mn 0.500 0.500 0.500 1
Zr1 Zr 0.750 0.750 0.750 1
Os1 Os 0.000 0.000 0.000 1
Os2 Os 0.250 0.250 0.250 1

=====

# Zr2MnOs PBE optimized geometry
# ΔH_f (0 K): -0.2832 eV/atom
# Space-group type: Pmma, No. 51
data_Zr2MnOs
_chemical_formula_sum 'Zr4 Mn2 Os2'
_cell_length_a 3.249
_cell_length_b 4.609
_cell_length_c 9.149
_cell_angle_alpha 90.00
_cell_angle_beta 90.00
_cell_angle_gamma 90.00
_symmetry_space_group_name_H-M 'P 1'
_symmetry_Int_Tables_number 1
loop_
_symmetry_equiv_pos_as_xyz
'x,y,z'
loop_
_atom_site_label
_atom_site_type_symbol
_atom_site_fract_x
_atom_site_fract_y
_atom_site_fract_z
_atom_site_occupancy
Zr1 Zr 0.000 0.250 0.120 1
Zr2 Zr 0.000 0.750 0.370 1
Zr3 Zr 0.000 0.750 0.880 1
Zr4 Zr 0.000 0.250 0.630 1
Os1 Os 0.500 0.250 0.374 1
Os2 Os 0.500 0.750 0.626 1
Mn1 Mn 0.500 0.250 0.877 1
Mn2 Mn 0.500 0.750 0.123 1

=====

# Zr2MnOs2 PBE optimized geometry
# ΔH_f (0 K): -0.0841 eV/atom
# Space-group type: P4/mbm, No. 127
data_Zr2MnOs2
_chemical_formula_sum 'Zr4 Mn2 Os4'
_cell_length_a 6.341
_cell_length_b 6.341
_cell_length_c 4.385
_cell_angle_alpha 90.00
_cell_angle_beta 90.00
_cell_angle_gamma 90.00
_symmetry_space_group_name_H-M 'P 1'
_symmetry_Int_Tables_number 1
loop_
_symmetry_equiv_pos_as_xyz
'x,y,z'
loop_
_atom_site_label
_atom_site_type_symbol
_atom_site_fract_x
_atom_site_fract_y
_atom_site_fract_z
_atom_site_occupancy
Mn1 Mn 0.000 0.000 0.000 1
Mn2 Mn 0.500 0.500 0.000 1
Os1 Os 0.359 0.859 0.000 1
Os2 Os 0.641 0.141 0.000 1
Os3 Os 0.141 0.359 0.000 1
Os4 Os 0.859 0.641 0.000 1
Zr1 Zr 0.679 0.821 0.500 1
Zr2 Zr 0.321 0.179 0.500 1
Zr3 Zr 0.179 0.679 0.500 1
Zr4 Zr 0.821 0.321 0.500 1

=====

# Zr2MnOs PBE optimized geometry
# ΔH_f (0 K): -0.0315 eV/atom
# Space-group type: I-4m2, No. 119
data_Zr2MnOs
_chemical_formula_sum 'Zr2 Mn1 Os1'
_cell_length_a 5.498
_cell_length_b 5.498
_cell_length_c 5.498
_cell_angle_alpha 138.83
_cell_angle_beta 138.83
_cell_angle_gamma 59.63
_symmetry_space_group_name_H-M 'P 1'
_symmetry_Int_Tables_number 1
loop_
_symmetry_equiv_pos_as_xyz
'x,y,z'
loop_
_atom_site_label
_atom_site_type_symbol
_atom_site_fract_x
_atom_site_fract_y
_atom_site_fract_z
_atom_site_occupancy
Mn1 Mn 0.500 0.500 0.000 1
Zr1 Zr 0.250 0.750 0.500 1
Zr2 Zr 0.000 0.000 0.000 1
Os1 Os 0.750 0.250 0.500 1

=====

# ZrMn9Os2 PBE optimized geometry
# ΔH_f (0 K): -0.0126 eV/atom
# Space-group type: R-3m, No. 166
data_ZrMn9Os2
_chemical_formula_sum 'Zr1 Mn9 Os2'
_cell_length_a 4.741
_cell_length_b 4.741
_cell_length_c 8.144
_cell_angle_alpha 73.08
_cell_angle_beta 73.08
_cell_angle_gamma 60.00
_symmetry_space_group_name_H-M 'P 1'
_symmetry_Int_Tables_number 1
loop_
_symmetry_equiv_pos_as_xyz
'x,y,z'
loop_
_atom_site_label
_atom_site_type_symbol
_atom_site_fract_x
_atom_site_fract_y
_atom_site_fract_z
_atom_site_occupancy
Mn1 Mn 0.339 0.339 0.982 1
Mn2 Mn 0.406 0.406 0.260 1
Mn3 Mn 0.661 0.661 0.018 1
Mn4 Mn 0.594 0.071 0.740 1
Mn5 Mn 0.500 0.500 0.500 1
Mn6 Mn 0.594 0.594 0.740 1
Mn7 Mn 0.406 0.929 0.260 1
Mn8 Mn 0.071 0.594 0.740 1
Mn9 Mn 0.929 0.406 0.260 1
Os1 Os 0.861 0.861 0.416 1
Os2 Os 0.139 0.139 0.584 1
Zr1 Zr 0.000 0.000 0.000 1

=====

# Zr4MnOs PBE optimized geometry
# ΔH_f (0 K): 0.6472 eV/atom
# Space-group type: F-43m, No. 216
data_Zr4MnOs
_chemical_formula_sum 'Zr4 Mn1 Os1'
_cell_length_a 5.563
_cell_length_b 5.563
_cell_length_c 5.563
_cell_angle_alpha 60.00
_cell_angle_beta 60.00
_cell_angle_gamma 60.00
_symmetry_space_group_name_H-M 'P 1'
_symmetry_Int_Tables_number 1
loop_
_symmetry_equiv_pos_as_xyz
'x,y,z'
loop_
_atom_site_label
_atom_site_type_symbol
_atom_site_fract_x
_atom_site_fract_y
_atom_site_fract_z
_atom_site_occupancy
Mn1 Mn 0.750 0.750 0.750 1
Zr1 Zr 0.374 0.374 0.878 1
Zr2 Zr 0.374 0.374 0.374 1
Zr3 Zr 0.878 0.374 0.374 1
Zr4 Zr 0.374 0.878 0.374 1
Os1 Os 0.000 0.000 0.000 1

=====

# Zr5MnOs4 PBE optimized geometry
# ΔH_f (0 K): -0.4364 eV/atom
# Space-group type: P4/mmm, No. 123
data_Zr5MnOs4
_chemical_formula_sum 'Zr5 Mn1 Os4'
_cell_length_a 3.266
_cell_length_b 3.266
_cell_length_c 16.405
_cell_angle_alpha 90.00
_cell_angle_beta 90.00
_cell_angle_gamma 90.00
_symmetry_space_group_name_H-M 'P 1'
_symmetry_Int_Tables_number 1
loop_
_symmetry_equiv_pos_as_xyz
'x,y,z'
loop_
_atom_site_label
_atom_site_type_symbol
_atom_site_fract_x
_atom_site_fract_y
_atom_site_fract_z
_atom_site_occupancy
Os1 Os 0.000 0.000 0.399 1
Os2 Os 0.000 0.000 0.601 1
Os3 Os 0.000 0.000 0.198 1
Os4 Os 0.000 0.000 0.802 1
Zr1 Zr 0.500 0.500 0.096 1
Zr2 Zr 0.500 0.500 0.500 1
Zr3 Zr 0.500 0.500 0.297 1
Zr4 Zr 0.500 0.500 0.703 1
Zr5 Zr 0.500 0.500 0.904 1
Mn1 Mn 0.000 0.000 0.000 1

=====

# Zr2MnOs PBE optimized geometry
# ΔH_f (0 K): 0.1734 eV/atom
# Space-group type: R-3m, No. 166
data_Zr2MnOs
_chemical_formula_sum 'Zr2 Mn1 Os1'
_cell_length_a 8.383
_cell_length_b 8.383
_cell_length_c 8.383
_cell_angle_alpha 21.59
_cell_angle_beta 21.59
_cell_angle_gamma 21.59
_symmetry_space_group_name_H-M 'P 1'
_symmetry_Int_Tables_number 1
loop_
_symmetry_equiv_pos_as_xyz
'x,y,z'
loop_
_atom_site_label
_atom_site_type_symbol
_atom_site_fract_x
_atom_site_fract_y
_atom_site_fract_z
_atom_site_occupancy
Os1 Os 0.750 0.750 0.750 1
Zr1 Zr 0.996 0.996 0.996 1
Zr2 Zr 0.504 0.504 0.504 1
Mn1 Mn 0.250 0.250 0.250 1

=====

# Zr2MnOs PBE optimized geometry
# ΔH_f (0 K): 0.0915 eV/atom
# Space-group type: Pmm2, No. 25
data_Zr2MnOs
_chemical_formula_sum 'Zr2 Mn1 Os1'
_cell_length_a 3.159
_cell_length_b 4.272
_cell_length_c 5.458
_cell_angle_alpha 90.00
_cell_angle_beta 90.00
_cell_angle_gamma 90.00
_symmetry_space_group_name_H-M 'P 1'
_symmetry_Int_Tables_number 1
loop_
_symmetry_equiv_pos_as_xyz
'x,y,z'
loop_
_atom_site_label
_atom_site_type_symbol
_atom_site_fract_x
_atom_site_fract_y
_atom_site_fract_z
_atom_site_occupancy
Zr1 Zr 0.000 0.000 0.952 1
Zr2 Zr 0.500 0.500 0.295 1
Os1 Os 0.500 0.500 0.787 1
Mn1 Mn 0.000 0.000 0.466 1

=====

# Zr3Mn8Os PBE optimized geometry
# ΔH_f (0 K): -0.1112 eV/atom
# Space-group type: R3m, No. 160
data_Zr3Mn8Os
_chemical_formula_sum 'Zr3 Mn8 Os1'
_cell_length_a 4.900
_cell_length_b 4.900
_cell_length_c 8.498
_cell_angle_alpha 73.25
_cell_angle_beta 73.25
_cell_angle_gamma 60.00
_symmetry_space_group_name_H-M 'P 1'
_symmetry_Int_Tables_number 1
loop_
_symmetry_equiv_pos_as_xyz
'x,y,z'
loop_
_atom_site_label
_atom_site_type_symbol
_atom_site_fract_x
_atom_site_fract_y
_atom_site_fract_z
_atom_site_occupancy
Mn1 Mn 0.438 0.438 0.193 1
Mn2 Mn 0.189 0.189 0.434 1
Mn3 Mn 0.438 0.930 0.193 1
Mn4 Mn 0.688 0.688 0.937 1
Mn5 Mn 0.930 0.438 0.193 1
Mn6 Mn 0.939 0.440 0.683 1
Mn7 Mn 0.939 0.939 0.683 1
Mn8 Mn 0.440 0.939 0.683 1
Os1 Os 0.876 0.876 0.373 1
Zr1 Zr 0.375 0.375 0.875 1
Zr2 Zr 0.502 0.502 0.493 1
Zr3 Zr 0.997 0.997 0.010 1

=====

# ZrMnOs2 PBE optimized geometry
# ΔH_f (0 K): 0.0780 eV/atom
# Space-group type: Pmmm, No. 47
data_ZrMnOs2
_chemical_formula_sum 'Zr1 Mn1 Os2'
_cell_length_a 3.106
_cell_length_b 4.558
_cell_length_c 4.423
_cell_angle_alpha 90.00
_cell_angle_beta 90.00
_cell_angle_gamma 90.00
_symmetry_space_group_name_H-M 'P 1'
_symmetry_Int_Tables_number 1
loop_
_symmetry_equiv_pos_as_xyz
'x,y,z'
loop_
_atom_site_label
_atom_site_type_symbol
_atom_site_fract_x
_atom_site_fract_y
_atom_site_fract_z
_atom_site_occupancy
Zr1 Zr 0.500 0.000 0.500 1
Mn1 Mn 0.000 0.500 0.500 1
Os1 Os 0.000 0.000 0.000 1
Os2 Os 0.500 0.500 0.000 1

=====

# ZrMnOs2 PBE optimized geometry
# ΔH_f (0 K): 0.0244 eV/atom
# Space-group type: Imm2, No. 44
data_ZrMnOs2
_chemical_formula_sum 'Zr1 Mn1 Os2'
_cell_length_a 5.263
_cell_length_b 5.263
_cell_length_c 5.263
_cell_angle_alpha 144.77
_cell_angle_beta 130.39
_cell_angle_gamma 62.30
_symmetry_space_group_name_H-M 'P 1'
_symmetry_Int_Tables_number 1
loop_
_symmetry_equiv_pos_as_xyz
'x,y,z'
loop_
_atom_site_label
_atom_site_type_symbol
_atom_site_fract_x
_atom_site_fract_y
_atom_site_fract_z
_atom_site_occupancy
Mn1 Mn 0.241 0.741 0.500 1
Os1 Os 0.757 0.257 0.500 1
Os2 Os 0.002 0.002 0.000 1
Zr1 Zr 0.500 0.500 0.000 1

=====

# Zr2MnOs PBE optimized geometry
# ΔH_f (0 K): -0.2865 eV/atom
# Space-group type: P4/mmm, No. 123
data_Zr2MnOs
_chemical_formula_sum 'Zr2 Mn1 Os1'
_cell_length_a 3.247
_cell_length_b 3.247
_cell_length_c 6.509
_cell_angle_alpha 90.00
_cell_angle_beta 90.00
_cell_angle_gamma 90.00
_symmetry_space_group_name_H-M 'P 1'
_symmetry_Int_Tables_number 1
loop_
_symmetry_equiv_pos_as_xyz
'x,y,z'
loop_
_atom_site_label
_atom_site_type_symbol
_atom_site_fract_x
_atom_site_fract_y
_atom_site_fract_z
_atom_site_occupancy
Os1 Os 0.500 0.500 0.750 1
Zr1 Zr 0.000 0.000 0.495 1
Zr2 Zr 0.000 0.000 0.005 1
Mn1 Mn 0.500 0.500 0.250 1

=====

# Zr2MnOs3 PBE optimized geometry
# ΔH_f (0 K): -0.3749 eV/atom
# Space-group type: R-3m, No. 166
data_Zr2MnOs3
_chemical_formula_sum 'Zr2 Mn1 Os3'
_cell_length_a 5.273
_cell_length_b 5.273
_cell_length_c 5.132
_cell_angle_alpha 90.04
_cell_angle_beta 120.91
_cell_angle_gamma 119.95
_symmetry_space_group_name_H-M 'P 1'
_symmetry_Int_Tables_number 1
loop_
_symmetry_equiv_pos_as_xyz
'x,y,z'
loop_
_atom_site_label
_atom_site_type_symbol
_atom_site_fract_x
_atom_site_fract_y
_atom_site_fract_z
_atom_site_occupancy
Os1 Os 0.000 0.000 0.500 1
Os2 Os 0.500 0.000 0.500 1
Os3 Os 0.500 0.500 0.500 1
Zr1 Zr 0.250 0.625 0.875 1
Zr2 Zr 0.750 0.375 0.125 1
Mn1 Mn 0.000 0.000 0.000 1

=====

# ZrMnOs3 PBE optimized geometry
# ΔH_f (0 K): 0.9824 eV/atom
# Space-group type: Pm-3m, No. 221
data_ZrMnOs3
_chemical_formula_sum 'Zr1 Mn1 Os3'
_cell_length_a 4.442
_cell_length_b 4.442
_cell_length_c 4.442
_cell_angle_alpha 90.00
_cell_angle_beta 90.00
_cell_angle_gamma 90.00
_symmetry_space_group_name_H-M 'P 1'
_symmetry_Int_Tables_number 1
loop_
_symmetry_equiv_pos_as_xyz
'x,y,z'
loop_
_atom_site_label
_atom_site_type_symbol
_atom_site_fract_x
_atom_site_fract_y
_atom_site_fract_z
_atom_site_occupancy
Zr1 Zr 0.500 0.500 0.500 1
Mn1 Mn 0.000 0.000 0.000 1
Os1 Os 0.500 0.000 0.000 1
Os2 Os 0.000 0.500 0.000 1
Os3 Os 0.000 0.000 0.500 1